20
Lattice="8.7960 0.0000 -0.0215 0.0000 9.7079 0.0000 0.0708 0.0000 10.6778" Properties=species:S:1:pos:R:3 comment="PBE-GGA Rb2PmCuI6, optimized geometry" m_tot_mub_per_fu=0.126 total_energy_ev_per_atom=-3.1607 sg="P2_1/c, No. 14" pbc="T T T"
Rb 4.1885 3.9423 2.6102
Rb 0.2449 8.7962 2.7179
I 5.3264 0.2808 3.0404
Pm 0.0354 4.8540 5.3389
Cu 4.4334 0.0000 5.3281
I 3.5405 9.4271 7.6158
I 1.8221 1.6006 0.5300
I 7.0448 8.1073 10.1262
Cu 0.0000 4.8540 0.0000
I 1.5237 2.1975 4.8016
I 2.9098 7.0514 0.5265
I 7.3432 7.5105 5.8546
Rb 4.6783 5.7656 8.0460
I 7.9031 5.1348 2.2661
I 5.9571 2.6565 10.1298
Rb 8.6220 0.9117 7.9383
Pm 4.3980 0.0000 -0.0108
I 2.6113 6.4545 4.7981
I 0.9637 4.5731 8.3901
I 6.2555 3.2534 5.8581